{"formula": "Ac12Ge3Sb5", "functional": "PBE-GGA", "state": "optimized geometry", "lattice": [[16.5901, 0.0000, 0.0000], [-5.5300, 15.6413, 0.0000], [-5.5300, -7.8206, 13.5457]], "species": ["Ge", "Ge", "Ge", "Ge", "Ge", "Ge", "Ge", "Ge", "Ge", "Ge", "Ge", "Ge", "Sb", "Sb", "Sb", "Sb", "Sb", "Sb", "Sb", "Sb", "Sb", "Sb", "Sb", "Sb", "Sb", "Sb", "Sb", "Sb", "Sb", "Sb", "Sb", "Sb", "Ac", "Ac", "Ac", "Ac", "Ac", "Ac", "Ac", "Ac", "Ac", "Ac", "Ac", "Ac", "Ac", "Ac", "Ac", "Ac", "Ac", "Ac", "Ac", "Ac", "Ac", "Ac", "Ac", "Ac", "Ac", "Ac", "Ac", "Ac", "Ac", "Ac", "Ac", "Ac", "Ac", "Ac", "Ac", "Ac", "Ac", "Ac", "Ac", "Ac", "Ac", "Ac", "Ac", "Ac", "Ac", "Ac", "Ac", "Ac"], "fractional_positions": [[0.7500, 0.3750, 0.1250], [0.8750, 0.7500, 0.1250], [0.3750, 0.7500, 0.6250], [0.2500, 0.1250, 0.3750], [0.8750, 0.1250, 0.2500], [0.3750, 0.6250, 0.2500], [0.6250, 0.3750, 0.7500], [0.1250, 0.8750, 0.7500], [0.7500, 0.8750, 0.6250], [0.6250, 0.2500, 0.3750], [0.1250, 0.2500, 0.8750], [0.2500, 0.6250, 0.8750], [0.1250, 0.3750, 0.2500], [0.0000, 0.5000, 0.0000], [0.0000, 0.0000, 0.0000], [0.3750, 0.2500, 0.1250], [0.5000, 0.0000, 0.5000], [0.5000, 0.5000, 0.0000], [0.1250, 0.7500, 0.3750], [0.7500, 0.1250, 0.8750], [0.7500, 0.6250, 0.3750], [0.3750, 0.1250, 0.7500], [0.6250, 0.8750, 0.2500], [0.5000, 0.5000, 0.5000], [0.5000, 0.0000, 0.0000], [0.0000, 0.0000, 0.5000], [0.2500, 0.3750, 0.6250], [0.2500, 0.8750, 0.1250], [0.0000, 0.5000, 0.5000], [0.8750, 0.2500, 0.6250], [0.6250, 0.7500, 0.8750], [0.8750, 0.6250, 0.7500], [0.7268, 0.1352, 0.0573], [0.3305, 0.5573, 0.4222], [0.9427, 0.3648, 0.2732], [0.5573, 0.2268, 0.1352], [0.5916, 0.7268, 0.6695], [0.9427, 0.5778, 0.1695], [0.3305, 0.7732, 0.4084], [0.0778, 0.9084, 0.1352], [0.5778, 0.9427, 0.6695], [0.7268, 0.5916, 0.1695], [0.7732, 0.4427, 0.3648], [0.8305, 0.9222, 0.0573], [0.1352, 0.7268, 0.5573], [0.3648, 0.4222, 0.0916], [0.0916, 0.9222, 0.3648], [0.4084, 0.1352, 0.5778], [0.0916, 0.1695, 0.2268], [0.4427, 0.6695, 0.0778], [0.8305, 0.9084, 0.2732], [0.1352, 0.4084, 0.0778], [0.3648, 0.9427, 0.7732], [0.5778, 0.6352, 0.4084], [0.9222, 0.8305, 0.5573], [0.7732, 0.3305, 0.9084], [0.4222, 0.3648, 0.5916], [0.0778, 0.1695, 0.4427], [0.2268, 0.6695, 0.0916], [0.1695, 0.0916, 0.7268], [0.6352, 0.0573, 0.2268], [0.8648, 0.5916, 0.9222], [0.5573, 0.3305, 0.9222], [0.5916, 0.8648, 0.4222], [0.9084, 0.8305, 0.7732], [0.9084, 0.0778, 0.6352], [0.8648, 0.2732, 0.4427], [0.1695, 0.0778, 0.9427], [0.6352, 0.5778, 0.9084], [0.4222, 0.0573, 0.3305], [0.2732, 0.4084, 0.8305], [0.2268, 0.5573, 0.6352], [0.9222, 0.0916, 0.8648], [0.6695, 0.2268, 0.5916], [0.4427, 0.7732, 0.8648], [0.0573, 0.4222, 0.8305], [0.4084, 0.2732, 0.3305], [0.0573, 0.6352, 0.7268], [0.6695, 0.4427, 0.5778], [0.2732, 0.8648, 0.9427]], "e_form_raw_ev_per_atom": -0.39, "space_group": "No. 230", "volume_a3_per_atom": 43.9, "e_tot_ev_per_atom": -4.58}

---

{"formula": "PmErBr", "functional": "PBE-GGA", "state": "optimized geometry", "lattice": [[3.7412, 0.0000, 0.0000], [-1.8706, 3.2400, 0.0000], [0.0000, 0.0000, 7.3950]], "species": ["Pm", "Br", "Er"], "fractional_positions": [[0.0000, 0.0000, 0.0115], [0.6667, 0.3333, 0.3418], [0.3333, 0.6667, 0.6467]], "relative_energy_mev_per_atom": 10, "e_form_raw_ev_per_atom": -0.74, "space_group": "No. 156", "volume_a3_per_atom": 29.9, "e_tot_ev_per_atom": -4.40}